Record 1
The following is a DFT calculation (PBE) of an optimized crystal structure of HfPbI6.

Values from the calculation:
For the uncorrected formation energy, the calculation gives -0.75 eV per atom. The crystal system is trigonal. Its energy above the most stable polymorph in this dataset is 10 meV per atom. Its space group is No. 148. Its total energy is -3.618 eV/atom.

Cell lengths 7.593, 7.593, 8.132 Å; angles 62.15, 62.17, 59.98 degrees
Fractional positions:
1 I 0.060 0.398 0.764
2 I 0.398 0.778 0.764
3 I 0.602 0.222 0.236
4 I 0.778 0.060 0.764
5 I 0.940 0.602 0.236
6 I 0.222 0.940 0.236
7 Pb 0.500 0.500 0.500
8 Hf 0.000 0.000 0.000


Record 2
The following is a DFT calculation (PBE) of an optimized crystal structure of HfPbI6.

Values from the calculation:
For the uncorrected formation energy, the calculation gives -0.76 eV per atom. The crystal system is monoclinic. Its energy above the most stable polymorph in this dataset is 0 meV per atom. Its space group is No. 12. Its total energy is -3.629 eV/atom.

Cell lengths 7.562, 7.578, 7.881 Å; angles 118.73, 98.37, 72.38 degrees
Fractional positions:
1 I 0.276 0.872 0.298
2 I 0.724 0.128 0.702
3 I 0.276 0.573 0.702
4 I 0.269 0.267 0.000
5 I 0.724 0.427 0.298
6 I 0.731 0.733 0.000
7 Hf 0.500 0.500 0.000
8 Pb 0.000 0.000 0.000


Record 3
The following is a DFT calculation (PBE) of an optimized crystal structure of Hf2PbI.

Values from the calculation:
For the uncorrected formation energy, the calculation gives 0.94 eV per atom. The crystal system is tetragonal. Its energy above the most stable polymorph in this dataset is 760 meV per atom. Its space group is No. 122. Its total energy is -5.355 eV/atom.

Cell lengths 6.547, 6.547, 7.944 Å; angles 65.66, 65.66, 90.00 degrees
Fractional positions:
1 Pb 0.750 0.250 0.500
2 Pb 0.000 0.000 0.000
3 Hf 0.375 0.370 0.750
4 Hf 0.120 0.625 0.250
5 Hf 0.875 0.880 0.750
6 Hf 0.630 0.125 0.250
7 I 0.500 0.500 0.000
8 I 0.250 0.750 0.500


Record 4
The following is a DFT calculation (PBE) of an optimized crystal structure of HfPbI3.

Values from the calculation:
For the uncorrected formation energy, the calculation gives -0.01 eV per atom. The crystal system is cubic. Its energy above the most stable polymorph in this dataset is 0 meV per atom. Its space group is No. 221. Its total energy is -3.668 eV/atom.

Cell lengths 5.675, 5.675, 5.675 Å; angles 90.00, 90.00, 90.00 degrees
Site moments in Bohr magnetons follow the coordinates.
Fractional positions:
1 I 0.000 0.500 0.000  0.00
2 I 0.000 0.000 0.500  0.01
3 I 0.500 0.000 0.000  0.00
4 Hf 0.000 0.000 0.000  0.13
5 Pb 0.500 0.500 0.500  0.27


Record 5
The following is a DFT calculation (PBE) of an optimized crystal structure of HfPb3I.

Values from the calculation:
For the uncorrected formation energy, the calculation gives 1.24 eV per atom. The crystal system is cubic. Its energy above the most stable polymorph in this dataset is 925 meV per atom. Its space group is No. 221. Its total energy is -3.288 eV/atom.

Cell lengths 5.846, 5.846, 5.846 Å; angles 90.00, 90.00, 90.00 degrees
Fractional positions:
1 Hf 0.500 0.500 0.500
2 Pb 0.000 0.000 0.500
3 Pb 0.500 0.000 0.000
4 Pb 0.000 0.500 0.000
5 I 0.000 0.000 0.000


Record 6
The following is a DFT calculation (PBE) of an optimized crystal structure of Rb2HfPbI6.

Values from the calculation:
For the uncorrected formation energy, the calculation gives -0.82 eV per atom. The crystal system is cubic. Its space group is No. 225. Its total energy is -3.309 eV/atom.

Cell lengths 8.755, 8.755, 8.756 Å; angles 60.01, 60.01, 90.00 degrees
Site moments in Bohr magnetons follow the coordinates.
Fractional positions:
1 Rb 0.250 0.750 0.500  0.00
2 Rb 0.750 0.250 0.500  0.00
3 I 0.735 0.735 0.000  0.00
4 I 0.735 0.265 0.000  0.01
5 I 0.265 0.265 0.470  0.01
6 I 0.265 0.735 0.000  0.01
7 I 0.735 0.735 0.530  0.01
8 I 0.265 0.265 0.000  0.00
9 Hf 0.500 0.500 0.000  0.81
10 Pb 0.000 0.000 0.000  0.22